1.
A plane-wave DFT calculation with PBE-GGA was carried out for VPd12Pt6 after structural relaxation.

Mass density   13775 kg/m³
Formation energy   -0.0325 eV per atom
Crystal system   trigonal
Space group   R-3 (148)
Magnetic moment   0.00 μB/cell

Cell: 6.7032 6.7032 6.7032 Å, 90.14 90.14 90.14°
Atoms (fractional coordinates):
V 0.0000 0.0000 0.0000
Pd 0.0409 0.1549 0.3724
Pd 0.1549 0.3724 0.0409
Pd 0.1952 0.4782 0.5666
Pd 0.3724 0.0409 0.1549
Pd 0.4334 0.8048 0.5218
Pd 0.4782 0.5666 0.1952
Pd 0.5218 0.4334 0.8048
Pd 0.5666 0.1952 0.4782
Pd 0.6276 0.9591 0.8451
Pd 0.8048 0.5218 0.4334
Pd 0.8451 0.6276 0.9591
Pd 0.9591 0.8451 0.6276
Pt 0.1169 0.7355 0.2602
Pt 0.2602 0.1169 0.7355
Pt 0.2645 0.7398 0.8831
Pt 0.7355 0.2602 0.1169
Pt 0.7398 0.8831 0.2645
Pt 0.8831 0.2645 0.7398



2.
A plane-wave DFT calculation with PBE-GGA was carried out for VPd3Pt2 after structural relaxation.

Mass density   12845 kg/m³
ΔE to the lowest computed polymorph   482 meV per atom
Formation energy   0.2125 eV per atom
Crystal system   orthorhombic
Space group   Immm (71)
Magnetic moment   0.00 μB/cell

Cell: 8.0492 8.0492 8.0492 Å, 160.76 145.05 40.20°
Atoms (fractional coordinates):
V 0.0000 0.0000 0.0000
Pd 0.1569 0.1569 0.0000
Pd 0.5000 0.0000 0.5000
Pd 0.8431 0.8431 0.0000
Pt 0.3414 0.3414 0.0000
Pt 0.6586 0.6586 0.0000



3.
A plane-wave DFT calculation with PBE-GGA was carried out for VPd3Pt after structural relaxation.

Mass density   12566 kg/m³
ΔE to the lowest computed polymorph   0 meV per atom
Formation energy   -0.2794 eV per atom
Crystal system   orthorhombic
Space group   Cmcm (63)
Magnetic moment   1.36 μB/cell

Cell: 10.0255 10.0255 3.8842 Å, 90.00 90.00 157.50°
Atoms (fractional coordinates):
V 0.1509 0.8491 0.7500
V 0.8491 0.1509 0.2500
Pd 0.0542 0.9458 0.2500
Pd 0.2495 0.7505 0.2500
Pd 0.4482 0.5518 0.2500
Pd 0.5518 0.4482 0.7500
Pd 0.7505 0.2495 0.7500
Pd 0.9458 0.0542 0.7500
Pt 0.3507 0.6493 0.7500
Pt 0.6493 0.3507 0.2500



4.
A plane-wave DFT calculation with PBE-GGA was carried out for V2Pd4Pt3 after structural relaxation.

Mass density   13803 kg/m³
Formation energy   -0.3324 eV per atom
Crystal system   monoclinic
Space group   C2/m (12)
Magnetic moment   0.00 μB/cell

Cell: 4.8319 4.8319 8.3005 Å, 108.07 108.07 47.24°
Atoms (fractional coordinates):
V 0.1703 0.1703 0.2298
V 0.8297 0.8297 0.7702
Pd 0.1671 0.1671 0.8929
Pd 0.4988 0.4988 0.3271
Pd 0.5012 0.5012 0.6729
Pd 0.8329 0.8329 0.1071
Pt 0.1733 0.1733 0.5615
Pt 0.5000 0.5000 0.0000
Pt 0.8267 0.8267 0.4385